# 1
Density functional theory data (PBE) for NaZnMo after structural relaxation.

abc: 6.5318 6.5318 6.5318
angles: 90.00 90.00 90.00
Space group F-43m (No. 216)
One atom of each set of equivalent atoms:
1 Na 0.0000 0.0000 0.0000
2 Zn 0.0000 0.0000 0.5000
3 Mo 0.2500 0.2500 0.2500

Summary:
E in eV/cell: -36.520

=====

# 2
Density functional theory data (PBE) for NdBi after structural relaxation.

abc: 4.5926 4.5926 11.2675
angles: 90.00 90.00 120.00
Space group P-3m1 (No. 164)
One atom of each set of equivalent atoms:
1 Nd 0.0000 0.0000 0.0000
2 Nd 0.3333 0.6667 0.3324
3 Bi 0.0000 0.0000 0.5000
4 Bi 0.3333 0.6667 0.8348

Summary:
Energy above the most stable polymorph in this dataset in meV per atom: 1

=====

# 3
Density functional theory data (PBE) for HoTmCd after structural relaxation.

abc: 7.1706 7.1706 7.1706
angles: 90.00 90.00 90.00
Space group F-43m (No. 216)
One atom of each set of equivalent atoms:
1 Ho 0.0000 0.0000 0.0000
2 Tm 0.2500 0.2500 0.7500
3 Cd 0.0000 0.0000 0.5000

Summary:
Energy above the most stable polymorph in this dataset in meV per atom: 0

=====

# 4
Density functional theory data (PBE) for Dy2P after structural relaxation.

abc: 12.1142 12.1142 12.1142
angles: 90.00 90.00 90.00
Space group Fd-3m (No. 227, origin choice 2)
One atom of each set of equivalent atoms:
1 Dy 0.0000 0.0000 0.0000
2 P 0.1250 0.1250 0.1250

Summary:
E in eV/cell: -103.480

=====

# 5
Density functional theory data (PBE) for TcN2 after structural relaxation.

abc: 5.5179 4.9007 5.5745
angles: 90.00 117.66 90.00
Space group P2_1/c (No. 14)
One atom of each set of equivalent atoms:
1 Tc 0.2433 0.0066 0.2862
2 N 0.0942 0.6944 0.3812
3 N 0.3878 0.1974 0.6048

Summary:
Energy above the most stable polymorph in this dataset in meV per atom: 117

=====

# 6
Density functional theory data (PBE) for K2IrO4 after structural relaxation.

abc: 7.0375 7.0375 9.9444
angles: 90.00 90.00 90.00
Space group I4_1/amd (No. 141, origin choice 2)
One atom of each set of equivalent atoms:
1 K 0.0000 0.0000 0.0000
2 Ir 0.0000 0.2500 0.3750
3 O 0.0000 0.0371 0.2688

Summary:
E in eV/cell: -150.684

=====

# 7
Density functional theory data (PBE) for MoS2 after structural relaxation.

abc: 3.1844 3.1844 14.8452
angles: 90.00 90.00 120.00
Space group P6_3/mmc (No. 194)
One atom of each set of equivalent atoms:
1 Mo 0.3333 0.6667 0.2500
2 S 0.3333 0.6667 0.6448

Summary:
E in eV/cell: -43.419

=====

# 8
Density functional theory data (PBE) for UPtW after structural relaxation.

abc: 6.3971 6.3971 6.3971
angles: 90.00 90.00 90.00
Space group F-43m (No. 216)
One atom of each set of equivalent atoms:
1 U 0.0000 0.0000 0.0000
2 Pt 0.2500 0.2500 0.2500
3 W 0.0000 0.0000 0.5000

Summary:
Energy above the most stable polymorph in this dataset in meV per atom: 0